{
  "formula": "U2ReRu",
  "functional": "PBE",
  "state": "relaxed",
  "cell": [[1.483, 0.856, 9.695], [-1.483, 0.856, 9.695], [0.000, -1.712, 9.695]],
  "species": ["U", "U", "Re", "Ru"],
  "frac_coords": [[0.087, 0.087, 0.087], [0.913, 0.913, 0.913], [0.000, 0.000, 0.000], [0.500, 0.500, 0.500]],
  "dft_energy_ev_per_cell": -42.64,
  "polymorph_energy_ev_per_fu": 1.45,
  "formation_energy_mev_per_atom": 414
}



{
  "formula": "CsPdI6",
  "functional": "PBE",
  "state": "relaxed",
  "cell": [[5.497, 3.174, 3.164], [-5.497, 3.174, 3.164], [0.000, -6.347, 3.164]],
  "species": ["Cs", "Pd", "I", "I", "I", "I", "I", "I"],
  "frac_coords": [[0.000, 0.000, 0.000], [0.500, 0.500, 0.500], [0.218, 0.218, 0.569], [0.218, 0.569, 0.218], [0.431, 0.782, 0.782], [0.569, 0.218, 0.218], [0.782, 0.431, 0.782], [0.782, 0.782, 0.431]],
  "dft_energy_ev_per_cell": -18.23,
  "polymorph_energy_ev_per_fu": 0.40,
  "formation_energy_uncorrected_ev_per_atom": -0.361
}



{
  "formula": "SbTe2IrN",
  "functional": "PBE",
  "state": "relaxed",
  "cell": [[5.554, 0.000, 0.000], [0.000, 5.554, 0.000], [0.000, 0.000, 3.715]],
  "species": ["Sb", "Te", "Te", "Ir", "N"],
  "frac_coords": [[0.000, 0.000, 0.000], [0.000, 0.500, 0.500], [0.500, 0.000, 0.500], [0.500, 0.500, 0.500], [0.500, 0.500, 0.000]],
  "dft_energy_ev_per_cell": -26.08,
  "polymorph_energy_ev_per_fu": 0.00,
  "formation_energy_uncorrected_ev_per_atom": 0.302
}



{
  "formula": "CdCo2Br",
  "functional": "PBE",
  "state": "relaxed",
  "cell": [[3.209, 0.000, 0.000], [0.000, 4.334, 0.000], [0.000, 0.000, 4.955]],
  "species": ["Cd", "Co", "Co", "Br"],
  "frac_coords": [[0.000, 0.000, 0.000], [0.000, 0.500, 0.500], [0.500, 0.500, 0.000], [0.500, 0.000, 0.500]],
  "dft_energy_ev_per_cell": -13.79,
  "polymorph_energy_ev_per_fu": 1.71,
  "formation_energy_uncorrected_ev_per_atom": 0.753
}



{
  "formula": "V2NiPt2",
  "functional": "PBE",
  "state": "relaxed",
  "cell": [[7.401, 0.000, 0.000], [0.000, 7.401, 0.000], [0.000, 0.000, 2.714]],
  "species": ["V", "V", "V", "V", "Ni", "Ni", "Pt", "Pt", "Pt", "Pt"],
  "frac_coords": [[0.166, 0.334, 0.000], [0.334, 0.834, 0.000], [0.666, 0.166, 0.000], [0.834, 0.666, 0.000], [0.000, 0.000, 0.500], [0.500, 0.500, 0.500], [0.132, 0.632, 0.500], [0.368, 0.132, 0.500], [0.632, 0.868, 0.500], [0.868, 0.368, 0.500]],
  "dft_energy_ev_per_cell": -74.35,
  "polymorph_energy_ev_per_fu": 0.63,
  "formation_energy_mev_per_atom": -215
}



{
  "formula": "Sm6Y2In",
  "functional": "PBE",
  "state": "relaxed",
  "cell": [[10.702, -3.141, 0.000], [10.702, 3.141, 0.000], [-3.043, 0.000, 8.579]],
  "species": ["Sm", "Sm", "Sm", "Sm", "Sm", "Sm", "Sm", "Sm", "Sm", "Sm", "Sm", "Sm", "Y", "Y", "Y", "Y", "In", "In"],
  "frac_coords": [[0.006, 0.670, 0.086], [0.122, 0.772, 0.865], [0.228, 0.878, 0.635], [0.244, 0.539, 0.472], [0.330, 0.994, 0.414], [0.461, 0.756, 0.028], [0.539, 0.244, 0.972], [0.670, 0.006, 0.586], [0.756, 0.461, 0.528], [0.772, 0.122, 0.365], [0.878, 0.228, 0.135], [0.994, 0.330, 0.914], [0.110, 0.443, 0.695], [0.443, 0.110, 0.195], [0.557, 0.890, 0.805], [0.890, 0.557, 0.305], [0.330, 0.670, 0.250], [0.670, 0.330, 0.750]],
  "dft_energy_ev_per_cell": -89.71,
  "polymorph_energy_ev_per_fu": 0.00,
  "formation_energy_mev_per_atom": -97
}